1.
Here is a relaxed Tm3TlRu2 crystal from the Alexandria database. Energies are from PBE.

VASP energy = -6.190 eV/atom
Space-group type = No. 123
Calculated formation energy = -45 kJ per mole of atoms

Unit cell a=3.397 b=3.397 c=11.260 alpha=90.00 beta=90.00 gamma=90.00
Atoms (fractional coordinates):
Ru1 0.500 0.500 0.153
Tm1 0.000 0.000 0.000
Ru2 0.500 0.500 0.847
Tl1 0.500 0.500 0.500
Tm2 0.000 0.000 0.291
Tm3 0.000 0.000 0.709

***

2.
Here is a relaxed Y2AsRu crystal from the Alexandria database. Energies are from PBE.

VASP energy = -7.051 eV/atom
Space-group type = No. 99
Calculated formation energy = -33 kJ per mole of atoms

Unit cell a=3.294 b=3.294 c=8.175 alpha=90.00 beta=90.00 gamma=90.00
Atoms (fractional coordinates):
Ru1 0.500 0.500 0.697
As1 0.000 0.000 0.556
Y1 0.500 0.500 0.305
Y2 0.000 0.000 0.942